[1]
The following is a DFT calculation (PBE) of LaBe3Ir3 after structural relaxation.

Geometry as POSCAR:
```
LaBe3Ir3
1.0
6.1238 0.0000 0.0000
0.0000 6.1238 0.0000
0.0000 0.0000 6.1238
Be Ir La
6 6 2
direct
0.0000 0.2500 0.5000
0.0000 0.7500 0.5000
0.5000 0.0000 0.7500
0.7500 0.5000 0.0000
0.5000 0.0000 0.2500
0.2500 0.5000 0.0000
0.2500 0.0000 0.5000
0.0000 0.5000 0.2500
0.5000 0.7500 0.0000
0.7500 0.0000 0.5000
0.0000 0.5000 0.7500
0.5000 0.2500 0.0000
0.5000 0.5000 0.5000
0.0000 0.0000 0.0000
```

## Properties
DOS(E_F) = 1.7 states/eV/cell
Calculated formation energy = -0.207 eV/atom


[2]
The following is a DFT calculation (PBE) of LaBe4Ir after structural relaxation.

Geometry as POSCAR:
```
LaBe4Ir
1.0
-2.1598 -3.5155 -2.5308
-4.4317 -1.5013 1.2388
-3.7856 1.0336 -2.8337
La Be Ir
1 4 1
direct
0.0000 0.0000 0.0000
0.8589 0.3804 0.3804
0.3804 0.3804 0.8589
0.3804 0.8589 0.3804
0.3804 0.3804 0.3804
0.7500 0.7500 0.7500
```

## Properties
DOS(E_F) = 0.0 states/eV/cell
Calculated formation energy = -0.066 eV/atom


[3]
The following is a DFT calculation (PBE) of LaBe2Ir after structural relaxation.

Geometry as POSCAR:
```
LaBe2Ir
1.0
3.9438 -0.0409 0.0639
2.0081 3.3945 0.0639
1.8945 1.0675 5.1496
Be Ir La
2 1 1
direct
0.9412 0.9412 0.1764
0.5588 0.5588 0.3236
0.2500 0.2500 0.2500
0.7500 0.7500 0.7500
```

## Properties
DOS(E_F) = 2.1 states/eV/cell
Calculated formation energy = -0.450 eV/atom
Energy above the lowest structure with this stoichiometry = 0.000 eV per atom


[4]
The following is a DFT calculation (PBE) of LaBe2Ir after structural relaxation.

Geometry as POSCAR:
```
LaBe2Ir
1.0
4.4183 0.0000 0.0000
0.0000 4.4183 0.0000
2.2092 2.2092 7.7767
Be Ir La
4 2 2
direct
0.8751 0.1250 0.2500
0.8749 0.6250 0.2500
0.3750 0.1249 0.7500
0.8750 0.1251 0.7500
0.0000 0.0000 0.0000
0.7500 0.2500 0.5000
0.5000 0.5000 0.0000
0.2500 0.7500 0.5000
```

## Properties
DOS(E_F) = 5.0 states/eV/cell
Calculated formation energy = -0.267 eV/atom
Energy above the lowest structure with this stoichiometry = 0.183 eV per atom


[5]
The following is a DFT calculation (PBE) of La2BeIr after structural relaxation.

Geometry as POSCAR:
```
La2BeIr
1.0
-2.0738 0.6093 -4.3859
-3.6510 -2.9840 1.2944
1.0867 3.8869 2.7605
Be Ir La
1 1 2
direct
0.5000 0.5000 0.0000
0.7500 0.2500 0.5000
0.0000 0.0000 0.0000
0.2500 0.7500 0.5000
```

## Properties
DOS(E_F) = 3.7 states/eV/cell
Calculated formation energy = -0.106 eV/atom


[6]
The following is a DFT calculation (PBE) of La2BeIr after structural relaxation.

Geometry as POSCAR:
```
La2BeIr
1.0
-4.8413 3.5810 4.7593
-5.9556 -0.3526 4.8291
-2.7939 0.9171 7.0899
Be Ir La
1 1 2
direct
0.4581 0.4581 0.4581
0.7919 0.7919 0.7919
0.0377 0.0377 0.0377
0.2123 0.2123 0.2123
```

## Properties
DOS(E_F) = 3.2 states/eV/cell
Calculated formation energy = -0.476 eV/atom


[7]
The following is a DFT calculation (PBE) of LaBe2Ir after structural relaxation.

Geometry as POSCAR:
```
LaBe2Ir
1.0
-2.1696 0.8587 -3.1763
2.5927 -1.9016 -2.2850
-2.3560 -3.8842 0.5593
Be Ir La
2 1 1
direct
0.0000 0.0000 0.0000
0.5000 0.5000 0.0000
0.5000 0.0000 0.5000
0.0000 0.5000 0.5000
```

## Properties
DOS(E_F) = 2.2 states/eV/cell
Calculated formation energy = 0.339 eV/atom
Energy above the lowest structure with this stoichiometry = 0.789 eV per atom


[8]
The following is a DFT calculation (PBE) of LaBe2Ir2 after structural relaxation.

Geometry as POSCAR:
```
LaBe2Ir2
1.0
5.6229 -0.6235 -0.0042
-2.4941 5.0780 -0.0042
-1.5613 -2.2228 6.2513
La Be Ir
2 4 4
direct
0.8749 0.6251 0.7500
0.1251 0.3749 0.2500
0.1960 0.3040 0.7500
0.4464 0.0536 0.2500
0.5536 0.9464 0.7500
0.8040 0.6960 0.2500
0.2560 0.0062 0.5116
0.5062 0.7560 0.0116
0.7440 0.9938 0.4884
0.4938 0.2440 0.9884
```

## Properties
DOS(E_F) = 4.0 states/eV/cell
Calculated formation energy = -0.610 eV/atom
Energy above the lowest structure with this stoichiometry = 0.009 eV per atom


[9]
The following is a DFT calculation (PBE) of La2BeIr after structural relaxation.

Geometry as POSCAR:
```
La2BeIr
1.0
7.7885 0.0000 0.0000
0.0000 7.7885 0.0000
3.8943 3.8943 3.4593
Be Ir La
2 2 4
direct
0.5000 0.5000 0.0000
0.2500 0.7500 0.5000
0.0000 0.0000 0.0000
0.7500 0.2500 0.5000
0.6506 0.1250 0.2500
0.0994 0.6250 0.2500
0.3750 0.3494 0.7500
0.8750 0.9006 0.7500
```

## Properties
DOS(E_F) = 6.9 states/eV/cell
Calculated formation energy = 0.143 eV/atom


[10]
The following is a DFT calculation (PBE) of La4BeIr after structural relaxation.

Geometry as POSCAR:
```
La4BeIr
1.0
4.0332 -1.7655 -4.3297
3.5218 -4.9895 0.9119
-1.0259 -5.1414 -3.2624
La Be Ir
4 1 1
direct
0.8786 0.3738 0.3738
0.3738 0.3738 0.8786
0.3738 0.8786 0.3738
0.3738 0.3738 0.3738
0.7500 0.7500 0.7500
0.0000 0.0000 0.0000
```

## Properties
DOS(E_F) = 12.4 states/eV/cell
Calculated formation energy = 0.851 eV/atom


[11]
The following is a DFT calculation (PBE) of La2BeIr after structural relaxation.

Geometry as POSCAR:
```
La2BeIr
1.0
-0.2570 -4.0562 -0.2481
4.1361 -0.2799 0.2927
1.6167 -0.4716 6.0365
Be Ir La
1 1 2
direct
0.0000 0.6733 0.5283
0.5000 0.5804 0.7140
0.0000 0.9862 0.9022
0.5000 0.2600 0.3555
```

## Properties
DOS(E_F) = 2.7 states/eV/cell
Calculated formation energy = -0.416 eV/atom


[12]
The following is a DFT calculation (PBE) of LaBe2Ir after structural relaxation.

Geometry as POSCAR:
```
LaBe2Ir
1.0
2.9432 0.0000 0.0000
0.0000 3.0052 0.0000
0.0000 0.0000 6.9616
Be Ir La
2 1 1
direct
0.0000 0.0000 0.0879
0.0000 0.0000 0.4121
0.5000 0.5000 0.2500
0.5000 0.5000 0.7500
```

## Properties
DOS(E_F) = 2.1 states/eV/cell
Calculated formation energy = -0.243 eV/atom
Energy above the lowest structure with this stoichiometry = 0.207 eV per atom


[13]
The following is a DFT calculation (PBE) of LaBe2Ir after structural relaxation.

Geometry as POSCAR:
```
LaBe2Ir
1.0
4.5536 0.0000 0.0000
0.0000 4.5536 0.0000
0.0000 0.0000 3.0093
Be Ir La
2 1 1
direct
0.0000 0.0000 0.0000
0.5000 0.5000 0.0000
0.5000 0.0000 0.5000
0.0000 0.5000 0.5000
```

## Properties
DOS(E_F) = 4.0 states/eV/cell
Calculated formation energy = 0.447 eV/atom
Energy above the lowest structure with this stoichiometry = 0.897 eV per atom


[14]
The following is a DFT calculation (PBE) of LaBe2Ir after structural relaxation.

Geometry as POSCAR:
```
LaBe2Ir
1.0
0.0000 3.1713 3.1713
3.1713 0.0000 3.1713
3.1713 3.1713 0.0000
Be Ir La
2 1 1
direct
0.2500 0.2500 0.2500
0.7500 0.7500 0.7500
0.5000 0.5000 0.5000
0.0000 0.0000 0.0000
```

## Properties
DOS(E_F) = 4.1 states/eV/cell
Calculated formation energy = 0.043 eV/atom
Energy above the lowest structure with this stoichiometry = 0.493 eV per atom


[15]
The following is a DFT calculation (PBE) of La3Be4Ir4 after structural relaxation.

Geometry as POSCAR:
```
La3Be4Ir4
1.0
-0.9987 -5.2172 3.3804
3.9703 -1.2824 -4.7154
2.4942 4.4481 3.6928
La Be Ir
3 4 4
direct
0.5000 0.5000 0.0000
0.5000 0.0000 0.5000
0.0000 0.5000 0.5000
0.0000 0.2207 0.0000
0.0000 0.0000 0.2207
0.2207 0.0000 0.0000
0.7793 0.7793 0.7793
0.0000 0.6012 0.0000
0.6012 0.0000 0.0000
0.0000 0.0000 0.6012
0.3988 0.3988 0.3988
```

## Properties
DOS(E_F) = 11.9 states/eV/cell
Calculated formation energy = -0.471 eV/atom


[16]
The following is a DFT calculation (PBE) of LaBe2Ir after structural relaxation.

Geometry as POSCAR:
```
LaBe2Ir
1.0
3.9842 0.0002 -0.0009
1.9969 3.4477 -0.0009
2.0037 1.1551 5.1521
Be Ir La
2 1 1
direct
0.9381 0.9381 0.1845
0.2445 0.2445 0.2667
0.5625 0.5625 0.3119
0.7549 0.7549 0.7368
```

## Properties
DOS(E_F) = 2.1 states/eV/cell
Calculated formation energy = -0.438 eV/atom
Energy above the lowest structure with this stoichiometry = 0.011 eV per atom


[17]
The following is a DFT calculation (PBE) of LaBe2Ir after structural relaxation.

Geometry as POSCAR:
```
LaBe2Ir
1.0
3.0467 0.0174 0.0000
-0.0173 3.0468 0.0000
0.0000 0.0000 6.9145
Be Ir La
2 1 1
direct
0.0000 0.0000 0.0853
0.5000 0.5000 0.2648
0.0000 0.0000 0.4089
0.5000 0.5000 0.7410
```

## Properties
DOS(E_F) = 3.6 states/eV/cell
Calculated formation energy = -0.072 eV/atom
Energy above the lowest structure with this stoichiometry = 0.378 eV per atom


[18]
The following is a DFT calculation (PBE) of La2MgBeIr2 after structural relaxation.

Geometry as POSCAR:
```
La2MgBeIr2
1.0
6.2614 0.0000 0.0000
0.0000 7.3151 0.0000
-3.1307 -3.6576 5.7161
La Mg Be Ir
4 2 2 4
direct
0.6778 0.8669 0.3555
0.1778 0.4886 0.3555
0.8222 0.5114 0.6445
0.3222 0.1331 0.6445
0.2500 0.0000 0.0000
0.7500 0.0000 0.0000
0.7500 0.5000 0.0000
0.2500 0.5000 0.0000
0.4161 0.6242 0.8322
0.5839 0.3758 0.1678
0.0839 0.7921 0.1678
0.9161 0.2079 0.8322
```

## Properties
DOS(E_F) = 6.1 states/eV/cell
Calculated formation energy = -0.541 eV/atom


[19]
The following is a DFT calculation (PBE) of La2MgBeIr after structural relaxation.

Geometry as POSCAR:
```
La2MgBeIr
1.0
5.6027 0.0000 0.0000
0.0000 5.6027 0.0000
0.0000 0.0000 4.4563
Be Mg Ir La
1 1 1 2
direct
0.0000 0.0000 0.5000
0.5000 0.5000 0.5000
0.0000 0.0000 0.0000
0.0000 0.5000 0.0000
0.5000 0.0000 0.0000
```

## Properties
DOS(E_F) = 2.4 states/eV/cell
Calculated formation energy = -0.214 eV/atom


[20]
The following is a DFT calculation (PBE) of LaBe2IrN after structural relaxation.

Geometry as POSCAR:
```
LaBe2IrN
1.0
-2.4354 -1.7570 -2.9004
1.5781 -3.8971 1.0357
-3.0305 -0.4745 2.8321
Be N Ir La
2 1 1 1
direct
0.0000 0.0000 0.5000
0.5000 0.0000 0.0000
0.0000 0.5000 0.0000
0.0000 0.0000 0.0000
0.5000 0.5000 0.5000
```

## Properties
DOS(E_F) = 3.1 states/eV/cell
Formation energy without anion corrections = 0.106 eV/atom